RbZn3Cu | PBE | optimized geometry

Unit cell a=6.594 b=6.594 c=6.594 alpha=90.00 beta=90.00 gamma=90.00
Space group Pm-3m (No. 221)
Unique sites:
Rb (0.000, 0.000, 0.000) [1 per cell]
Zn (0.000, 0.000, 0.500) [3 per cell]
Cu (0.500, 0.500, 0.500) [1 per cell]

The calculation puts the excess energy over the best structure of this formula in the dataset at 0.993 eV per atom. The total DFT energy (no corrections) comes out at -0.64 eV/atom. As for the total magnetization: 0.00 μB per formula unit.